The following is a DFT calculation (PBE) of Sr3Pa3CuAs8 after structural relaxation.

extended XYZ file:
```
15
Lattice="8.337 0.000 0.000 -4.168 7.218 -0.025 0.000 -4.787 7.192" Properties=species:S:1:pos:R:3 pbc="T T T"
As 4.168 2.458 2.111
As 4.168 0.021 5.178
As 0.000 -0.026 5.055
As -2.113 3.644 5.051
As 2.055 -1.212 2.115
As 0.000 2.410 1.988
As 6.281 -1.212 2.115
As 2.113 3.644 5.051
Sr 2.084 3.609 -0.013
Sr 0.000 0.000 0.000
Sr -2.084 3.609 -0.013
Pa 4.168 -2.393 3.596
Pa 2.084 1.216 3.583
Pa -2.084 1.216 3.583
Cu 0.000 -2.393 3.596
```

Summary:
The formation energy comes out at -764 meV/atom.